A geometry-optimized InSbBr structure. Source: Alexandria via LeMat-Bulk, functional PBE-GGA.

The structure belongs to space group P3m1 (No. 156); the cell edges are 5.2117, 5.2117 and 3.6141 Å and the angles 90.00°, 90.00° and 120.00°. The asymmetric unit holds In at (0.0000, 0.0000, 0.0000), Sb at (0.6667, 0.3333, 0.9954) and Br at (0.3333, 0.6667, 0.4986).

The calculation puts the energy above the most stable polymorph in this dataset at 0.260 eV per atom. The value obtained for the raw formation energy is -15 kJ/mol of formula units. Its energy is -2.90 eV/atom.